VASP calculation (GGA+U) on a geometry-optimized FeCoI2O structure.

Cell lengths 5.642, 5.642, 3.655 Å; angles 90.00, 90.00, 90.00 degrees
Space group P4/mmm (No. 123)
Symmetry-distinct sites (fractional):
Fe 0.000 0.000 0.000 x1
Co 0.500 0.500 0.500 x1
I 0.000 0.500 0.500 x2
O 0.500 0.500 0.000 x1

Output
- polymorph energy (0 for the lowest one) (meV/atom) = 0